The following is a DFT calculation (PBEsol) of crystalline Ta2SiHg at its relaxed geometry.

Summary:
- Calculated volume: 66.8 Å³/cell
- Theoretical density: 14.67 g/cm3
- Final energy: -31.45 eV per cell
- Crystal system: tetragonal

Cell: 2.925 2.925 7.812 Å, 90.00 90.00 90.00°
Space group P4/mmm (No. 123)
Inequivalent atoms, fractional coordinates:
1 Ta 0.000 0.000 0.219 [2 per cell]
2 Si 0.500 0.500 0.000 [1 per cell]
3 Hg 0.500 0.500 0.500 [1 per cell]